Version w
DFT (GGA-PBEsol) results for an optimized crystal structure of LaNiOs.

* symmetry: Imma
* ρ: 12.37 Mg/m³

Unit cell a=5.0529 b=5.3207 c=5.3207 alpha=60.66 beta=61.65 gamma=61.65
Positions (direct):
Ni 0.0000 0.5000 0.5000
Ni 0.0000 0.0000 0.0000
Os 0.0000 0.0000 0.5000
Os 0.5000 0.0000 0.5000
La 0.3780 0.3720 0.8720
La 0.6220 0.6280 0.1280

Version x
DFT (GGA-PBEsol) results for an optimized crystal structure of LaNiOs.

* symmetry: I4mm
* ρ: 11.70 Mg/m³

Unit cell a=3.3428 b=3.3428 c=5.4629 alpha=107.82 beta=107.82 gamma=90.00
Positions (direct):
La 0.9997 0.9997 0.9994
Ni 0.7145 0.7145 0.4291
Os 0.2858 0.2858 0.5715

Referenced to the most stable arrangement, the calculated values in eV/atom are version w 0.000; version x 0.445.